(1)
# PBE CaSnO3, optimized geometry
data_CaSnO3
_chemical_formula_sum 'Ca1 Sn1 O3'
_space_group_name_H-M_alt 'P 1'
_space_group_IT_number 1
_cell_length_a 4.281
_cell_length_b 4.281
_cell_length_c 4.281
_cell_angle_alpha 90.00
_cell_angle_beta 90.00
_cell_angle_gamma 90.00
loop_
_space_group_symop_operation_xyz
'x,y,z'
loop_
_atom_site_label
_atom_site_type_symbol
_atom_site_fract_x
_atom_site_fract_y
_atom_site_fract_z
O1 O 0.000 0.500 0.000
O2 O 0.500 0.000 0.000
O3 O 0.000 0.000 0.500
Ca1 Ca 0.000 0.000 0.000
Sn1 Sn 0.500 0.500 0.500
# Electronic total energy (eV/cell): -25.0

***

(2)
# PBE Ce2Ni12GeB3, optimized geometry
data_Ce2Ni12GeB3
_chemical_formula_sum 'Ce2 Ni12 Ge1 B3'
_space_group_name_H-M_alt 'P 1'
_space_group_IT_number 1
_cell_length_a 6.564
_cell_length_b 6.564
_cell_length_c 6.564
_cell_angle_alpha 68.25
_cell_angle_beta 68.25
_cell_angle_gamma 68.25
loop_
_space_group_symop_operation_xyz
'x,y,z'
loop_
_atom_site_label
_atom_site_type_symbol
_atom_site_fract_x
_atom_site_fract_y
_atom_site_fract_z
Ni1 Ni 0.111 0.715 0.715
Ni2 Ni 0.864 0.393 0.864
Ni3 Ni 0.889 0.285 0.285
Ni4 Ni 0.285 0.285 0.889
Ni5 Ni 0.715 0.111 0.715
B1 B 0.000 0.500 0.000
Ge1 Ge 0.000 0.000 0.000
Ni6 Ni 0.136 0.136 0.607
B2 B 0.000 0.000 0.500
Ni7 Ni 0.285 0.889 0.285
Ni8 Ni 0.715 0.715 0.111
Ce1 Ce 0.606 0.606 0.606
B3 B 0.500 0.000 0.000
Ce2 Ce 0.394 0.394 0.394
Ni9 Ni 0.393 0.864 0.864
Ni10 Ni 0.607 0.136 0.136
Ni11 Ni 0.864 0.864 0.393
Ni12 Ni 0.136 0.607 0.136
# ΔE_f (kJ/mol of atoms): -12.7
# Electronic total energy (eV/cell): -108.3

***

(3)
# PBE TbAl2Ge, optimized geometry
data_TbAl2Ge
_chemical_formula_sum 'Tb1 Al2 Ge1'
_space_group_name_H-M_alt 'P 1'
_space_group_IT_number 1
_cell_length_a 4.389
_cell_length_b 4.233
_cell_length_c 4.233
_cell_angle_alpha 90.00
_cell_angle_beta 90.00
_cell_angle_gamma 90.00
loop_
_space_group_symop_operation_xyz
'x,y,z'
loop_
_atom_site_label
_atom_site_type_symbol
_atom_site_fract_x
_atom_site_fract_y
_atom_site_fract_z
Al1 Al 0.000 0.500 0.000
Tb1 Tb 0.500 0.500 0.500
Ge1 Ge 0.500 0.000 0.000
Al2 Al 0.000 0.000 0.500
# ΔE_f (kJ/mol of atoms): -41.1
# Electronic total energy (eV/cell): -18.4

***

(4)
# PBE NdAlGa2, optimized geometry
data_NdAlGa2
_chemical_formula_sum 'Nd8 Al8 Ga16'
_space_group_name_H-M_alt 'P 1'
_space_group_IT_number 1
_cell_length_a 4.243
_cell_length_b 11.155
_cell_length_c 14.200
_cell_angle_alpha 90.00
_cell_angle_beta 90.00
_cell_angle_gamma 90.00
loop_
_space_group_symop_operation_xyz
'x,y,z'
loop_
_atom_site_label
_atom_site_type_symbol
_atom_site_fract_x
_atom_site_fract_y
_atom_site_fract_z
Al1 Al 0.250 0.449 0.056
Nd1 Nd 0.750 0.249 0.951
Ga1 Ga 0.750 0.951 0.631
Ga2 Ga 0.750 0.772 0.886
Al2 Al 0.750 0.169 0.703
Al3 Al 0.250 0.051 0.556
Ga3 Ga 0.750 0.746 0.706
Nd2 Nd 0.250 0.749 0.549
Ga4 Ga 0.750 0.754 0.206
Ga5 Ga 0.750 0.527 0.461
Ga6 Ga 0.250 0.246 0.794
Ga7 Ga 0.250 0.228 0.114
Nd3 Nd 0.750 0.251 0.451
Al4 Al 0.750 0.331 0.203
Nd4 Nd 0.750 0.036 0.200
Ga8 Ga 0.250 0.272 0.614
Ga9 Ga 0.750 0.549 0.131
Ga10 Ga 0.250 0.451 0.869
Ga11 Ga 0.750 0.973 0.961
Ga12 Ga 0.250 0.049 0.369
Al5 Al 0.750 0.551 0.944
Ga13 Ga 0.250 0.027 0.039
Nd5 Nd 0.250 0.964 0.800
Ga14 Ga 0.250 0.473 0.539
Ga15 Ga 0.250 0.254 0.294
Nd6 Nd 0.750 0.464 0.700
Al6 Al 0.750 0.949 0.444
Nd7 Nd 0.250 0.536 0.300
Ga16 Ga 0.750 0.728 0.386
Nd8 Nd 0.250 0.751 0.049
Al7 Al 0.250 0.669 0.797
Al8 Al 0.250 0.831 0.297
# ΔE_f (kJ/mol of atoms): -53.1
# Electronic total energy (eV/cell): -134.1

***

no.,calculated volume (A^3/atom),total magnetic moment (μB per formula unit),calculated density (g/cm³)
1,15.69,2.000,4.38
2,13.05,0.000,7.70
3,19.66,0.000,6.03
4,21.00,0.000,6.14